Record 1
DFT (GGA-PBEsol) results for FeSbTe2N after structural relaxation.

```
data_FeSbTe2N
_space_group_name_H-M_alt 'P 4/m m m'
_space_group_IT_number 123
_space_group_name_Hall '-P 4 2'
_cell_length_a 5.007
_cell_length_b 5.007
_cell_length_c 4.879
_cell_angle_alpha 90.00
_cell_angle_beta 90.00
_cell_angle_gamma 90.00
loop_
_atom_site_label
_atom_site_fract_x
_atom_site_fract_y
_atom_site_fract_z
Fe1 0.000 0.000 0.000
Sb1 0.000 0.000 0.500
Te1 0.000 0.500 0.000
N1 0.500 0.500 0.500
```


Record 2
# GGA-PBEsol CaReNi2, relaxed
data_CaReNi2
_space_group_name_H-M_alt 'R 3 m'
_space_group_IT_number 160
_space_group_name_Hall 'R 3 -2"'
_cell_length_a 2.7643
_cell_length_b 2.7643
_cell_length_c 26.1938
_cell_angle_alpha 90.00
_cell_angle_beta 90.00
_cell_angle_gamma 120.00
loop_
_atom_site_label
_atom_site_fract_x
_atom_site_fract_y
_atom_site_fract_z
Ca1 0.0000 0.0000 0.0000
Re1 0.0000 0.0000 0.7671
Ni1 0.0000 0.0000 0.2463
Ni2 0.0000 0.0000 0.5080
# offset from the most stable computed form	0.93	eV/f.u.
# calculated formation energy	577	meV/atom


Record 3
# GGA-PBEsol Fe3Pt, relaxed
data_Fe3Pt
_space_group_name_H-M_alt 'C m m m'
_space_group_IT_number 65
_space_group_name_Hall '-C 2 2'
_cell_length_a 5.182
_cell_length_b 7.346
_cell_length_c 2.619
_cell_angle_alpha 90.00
_cell_angle_beta 90.00
_cell_angle_gamma 90.00
loop_
_atom_site_label
_atom_site_fract_x
_atom_site_fract_y
_atom_site_fract_z
Fe1 0.000 0.000 0.000
Fe2 0.250 0.250 0.500
Pt1 0.000 0.500 0.000
# calculated formation energy	25	meV/atom


Number 1: final energy -4.457 eV per atom. Number 2: final energy -6.368 eV per atom. Number 3: final energy -8.439 eV per atom.